1.
TcS3O | PBE | optimized geometry

symmetry = Pm-3m, No. 221
formation energy without anion corrections = 826 meV per atom
magnetic moment = 0.0 Bohr magnetons per cell

Cell: 4.5390 4.5390 4.5390 Å, 90.00 90.00 90.00°
Atoms (fractional coordinates):
Tc1 0.0000 0.0000 0.0000
S1 0.0000 0.0000 0.5000
S2 0.0000 0.5000 0.0000
S3 0.5000 0.0000 0.0000
O1 0.5000 0.5000 0.5000

---

2.
CsPrAgO3 | PBE | optimized geometry

symmetry = P2_1/m, No. 11
formation energy without anion corrections = -1630 meV per atom
magnetic moment = 0.0 Bohr magnetons per cell

Cell: 7.9757 4.0826 9.7711 Å, 90.00 112.60 90.00°
Atoms (fractional coordinates):
Cs1 0.2057 0.2500 0.1906
Cs2 0.7943 0.7500 0.8094
Pr1 0.3247 0.7500 0.8674
Pr2 0.6753 0.2500 0.1326
Ag1 0.0343 0.2500 0.6281
Ag2 0.9657 0.7500 0.3719
O1 0.0588 0.7500 0.6164
O2 0.1375 0.2500 0.8686
O3 0.4784 0.7500 0.1181
O4 0.5216 0.2500 0.8819
O5 0.8625 0.7500 0.1314
O6 0.9412 0.2500 0.3836

---

3.
DyTmPb | PBE | optimized geometry

symmetry = I4mm, No. 107
calculated formation energy = -0.77 eV per formula unit
magnetic moment = 1.4 Bohr magnetons per cell

Cell: 6.3801 6.3801 6.3801 Å, 144.47 144.47 51.12°
Atoms (fractional coordinates):
Dy1 0.0000 0.0000 0.0000
Tm1 0.3138 0.3138 0.0000
Pb1 0.6603 0.6603 0.0000

---

4.
Tm4PuN5 | PBE | optimized geometry

symmetry = I4/mmm, No. 139
formation energy without anion corrections = -1702 meV per atom
magnetic moment = 4.7 Bohr magnetons per cell

Cell: 12.3115 12.3115 12.3115 Å, 164.05 164.05 22.63°
Atoms (fractional coordinates):
Tm1 0.1026 0.1026 0.0000
Tm2 0.2992 0.2992 0.0000
Tm3 0.7008 0.7008 0.0000
Tm4 0.8974 0.8974 0.0000
Pu1 0.5000 0.5000 0.0000
N1 0.0000 0.0000 0.0000
N2 0.2001 0.2001 0.0000
N3 0.3998 0.3998 0.0000
N4 0.6002 0.6002 0.0000
N5 0.7999 0.7999 0.0000

---

5.
Pr2DyYHo5 | PBE | optimized geometry

symmetry = I4/mcm, No. 140
calculated formation energy = 2.42 eV per formula unit
magnetic moment = 0.0 Bohr magnetons per cell

Cell: 9.9810 9.9810 9.9810 Å, 128.88 128.88 75.20°
Atoms (fractional coordinates):
Pr1 0.1186 0.6186 0.7372
Pr2 0.3814 0.1186 0.5000
Pr3 0.6186 0.8814 0.5000
Pr4 0.8814 0.3814 0.2628
Dy1 0.2500 0.2500 0.0000
Dy2 0.7500 0.7500 0.0000
Y1 0.2500 0.7500 0.5000
Y2 0.7500 0.2500 0.5000
Ho1 0.0000 0.0000 0.0000
Ho2 0.0730 0.1445 0.5000
Ho3 0.1445 0.6445 0.0715
Ho4 0.3555 0.4270 0.5000
Ho5 0.4270 0.9270 0.0715
Ho6 0.5000 0.5000 0.0000
Ho7 0.5730 0.0730 0.9285
Ho8 0.6445 0.5730 0.5000
Ho9 0.8555 0.3555 0.9285
Ho10 0.9270 0.8555 0.5000

---

6.
KAuCl2F | PBE | optimized geometry

symmetry = P4/mmm, No. 123
formation energy without anion corrections = -1158 meV per atom
magnetic moment = 0.0 Bohr magnetons per cell

Cell: 5.1082 5.1082 4.5271 Å, 90.00 90.00 90.00°
Atoms (fractional coordinates):
K1 0.0000 0.0000 0.0000
Au1 0.5000 0.5000 0.5000
Cl1 0.0000 0.5000 0.5000
Cl2 0.5000 0.0000 0.5000
F1 0.5000 0.5000 0.0000

---

7.
RbCdBr3 | PBE | optimized geometry

symmetry = P-1, No. 2
formation energy without anion corrections = -1219 meV per atom
magnetic moment = 0.0 Bohr magnetons per cell

Cell: 5.2192 8.8683 8.8729 Å, 73.22 89.68 89.69°
Atoms (fractional coordinates):
Rb1 0.2454 0.2194 0.2191
Rb2 0.7546 0.7806 0.7809
Cd1 0.0007 0.3188 0.6810
Cd2 0.9993 0.6812 0.3190
Br1 0.2456 0.6018 0.6020
Br2 0.2474 0.0689 0.6689
Br3 0.2469 0.6696 0.0692
Br4 0.7531 0.3304 0.9308
Br5 0.7526 0.9311 0.3311
Br6 0.7544 0.3982 0.3980

---

8.
CsMgTa3 | PBE | optimized geometry

symmetry = Pm-3m, No. 221
calculated formation energy = 14.70 eV per formula unit
magnetic moment = 0.0 Bohr magnetons per cell

Cell: 5.0518 5.0518 5.0518 Å, 90.00 90.00 90.00°
Atoms (fractional coordinates):
Cs1 0.0000 0.0000 0.0000
Mg1 0.5000 0.5000 0.5000
Ta1 0.0000 0.0000 0.5000
Ta2 0.0000 0.5000 0.0000
Ta3 0.5000 0.0000 0.0000

---

9.
CaHfCl2 | PBE | optimized geometry

symmetry = I-42d, No. 122
formation energy without anion corrections = -646 meV per atom
magnetic moment = 0.6 Bohr magnetons per cell

Cell: 9.2760 9.2760 9.2760 Å, 149.80 149.80 43.24°
Atoms (fractional coordinates):
Ca1 0.0000 0.0000 0.0000
Ca2 0.7500 0.2500 0.5000
Hf1 0.2500 0.7500 0.5000
Hf2 0.5000 0.5000 0.0000
Cl1 0.1698 0.6250 0.0448
Cl2 0.3750 0.4198 0.5448
Cl3 0.5802 0.1250 0.9552
Cl4 0.8750 0.8302 0.4552

---

10.
NbCrB | PBE | optimized geometry

symmetry = C2/m, No. 12
calculated formation energy = -1.16 eV per formula unit
magnetic moment = 0.0 Bohr magnetons per cell

Cell: 5.3479 5.3479 4.5499 Å, 97.58 97.58 33.20°
Atoms (fractional coordinates):
Nb1 0.1381 0.1381 0.3543
Nb2 0.8619 0.8619 0.6457
Cr1 0.4245 0.4245 0.1785
Cr2 0.5755 0.5755 0.8215
B1 0.2303 0.2303 0.8947
B2 0.7697 0.7697 0.1053

---

11.
Th4AlAu | PBE | optimized geometry

symmetry = P4/mcc, No. 124
calculated formation energy = -1.96 eV per formula unit
magnetic moment = 0.0 Bohr magnetons per cell

Cell: 7.6344 7.6344 5.7562 Å, 90.00 90.00 90.00°
Atoms (fractional coordinates):
Th1 0.1567 0.3414 0.0000
Th2 0.1567 0.6586 0.5000
Th3 0.3414 0.1567 0.5000
Th4 0.3414 0.8433 0.0000
Th5 0.6586 0.1567 0.0000
Th6 0.6586 0.8433 0.5000
Th7 0.8433 0.3414 0.5000
Th8 0.8433 0.6586 0.0000
Al1 0.0000 0.0000 0.2500
Al2 0.0000 0.0000 0.7500
Au1 0.5000 0.5000 0.2500
Au2 0.5000 0.5000 0.7500

---

12.
NaAcI6 | PBE | optimized geometry

symmetry = Fm-3m, No. 225
formation energy without anion corrections = -814 meV per atom
magnetic moment = 1.3 Bohr magnetons per cell

Cell: 9.0431 9.0431 9.0431 Å, 60.00 60.00 60.00°
Atoms (fractional coordinates):
Na1 0.0000 0.0000 0.0000
Ac1 0.5000 0.5000 0.5000
I1 0.2466 0.2466 0.7534
I2 0.2466 0.7534 0.2466
I3 0.2466 0.7534 0.7534
I4 0.7534 0.2466 0.2466
I5 0.7534 0.2466 0.7534
I6 0.7534 0.7534 0.2466

---

13.
KRbCd2Sb2 | PBE | optimized geometry

symmetry = P-3m1, No. 164
formation energy without anion corrections = -399 meV per atom
magnetic moment = 0.0 Bohr magnetons per cell

Cell: 4.8856 4.8856 10.8184 Å, 90.00 90.00 120.00°
Atoms (fractional coordinates):
K1 0.0000 0.0000 0.0000
Rb1 0.0000 0.0000 0.5000
Cd1 0.3333 0.6667 0.2363
Cd2 0.6667 0.3333 0.7637
Sb1 0.3333 0.6667 0.7572
Sb2 0.6667 0.3333 0.2428

---

14.
Hf7Bi2Se2 | PBE | optimized geometry

symmetry = C2/m, No. 12
formation energy without anion corrections = -296 meV per atom
magnetic moment = 0.0 Bohr magnetons per cell

Cell: 6.4627 6.4627 7.3992 Å, 99.56 99.56 111.00°
Atoms (fractional coordinates):
Hf1 0.0000 0.0000 0.0000
Hf2 0.0864 0.5552 0.8306
Hf3 0.4005 0.4005 0.1547
Hf4 0.4448 0.9136 0.1694
Hf5 0.5552 0.0864 0.8306
Hf6 0.5995 0.5995 0.8453
Hf7 0.9136 0.4448 0.1694
Bi1 0.3200 0.6800 0.5000
Bi2 0.6800 0.3200 0.5000
Se1 0.2064 0.2064 0.7533
Se2 0.7936 0.7936 0.2467

---

15.
KLa2MgTa | PBE | optimized geometry

symmetry = P4/mmm, No. 123
calculated formation energy = 2.74 eV per formula unit
magnetic moment = 0.0 Bohr magnetons per cell

Cell: 5.6604 5.6604 5.8637 Å, 90.00 90.00 90.00°
Atoms (fractional coordinates):
K1 0.0000 0.0000 0.0000
La1 0.0000 0.5000 0.5000
La2 0.5000 0.0000 0.5000
Mg1 0.5000 0.5000 0.0000
Ta1 0.5000 0.5000 0.5000

---

16.
MgAl2TlSb | PBE | optimized geometry

symmetry = P4/mmm, No. 123
formation energy without anion corrections = 599 meV per atom
magnetic moment = 0.0 Bohr magnetons per cell

Cell: 5.2958 5.2958 5.5785 Å, 90.00 90.00 90.00°
Atoms (fractional coordinates):
Mg1 0.0000 0.0000 0.0000
Al1 0.0000 0.5000 0.5000
Al2 0.5000 0.0000 0.5000
Tl1 0.5000 0.5000 0.0000
Sb1 0.0000 0.0000 0.5000

---

17.
Ho2PuFe | PBE | optimized geometry

symmetry = P4/mmm, No. 123
calculated formation energy = 0.49 eV per formula unit
magnetic moment = 7.9 Bohr magnetons per cell

Cell: 3.3677 3.3677 8.5946 Å, 90.00 90.00 90.00°
Atoms (fractional coordinates):
Ho1 0.0000 0.0000 0.1895
Ho2 0.0000 0.0000 0.8105
Pu1 0.5000 0.5000 0.5000
Fe1 0.5000 0.5000 0.0000

---

18.
Nd14SmCd | PBE | optimized geometry

symmetry = P4/mmm, No. 123
calculated formation energy = -0.23 eV per formula unit
magnetic moment = 0.0 Bohr magnetons per cell

Cell: 7.2597 7.2597 10.3387 Å, 90.00 90.00 90.00°
Atoms (fractional coordinates):
Nd1 0.0000 0.0000 0.0000
Nd2 0.0000 0.5000 0.0000
Nd3 0.0000 0.5000 0.5000
Nd4 0.2480 0.2480 0.2543
Nd5 0.2480 0.2480 0.7457
Nd6 0.2480 0.7520 0.2543
Nd7 0.2480 0.7520 0.7457
Nd8 0.5000 0.0000 0.0000
Nd9 0.5000 0.0000 0.5000
Nd10 0.5000 0.5000 0.0000
Nd11 0.7520 0.2480 0.2543
Nd12 0.7520 0.2480 0.7457
Nd13 0.7520 0.7520 0.2543
Nd14 0.7520 0.7520 0.7457
Sm1 0.5000 0.5000 0.5000
Cd1 0.0000 0.0000 0.5000

---

19.
TmAlGa4 | PBE | optimized geometry

symmetry = F-43m, No. 216
calculated formation energy = -1.00 eV per formula unit
magnetic moment = 0.0 Bohr magnetons per cell

Cell: 5.4520 5.4520 5.4520 Å, 60.00 60.00 60.00°
Atoms (fractional coordinates):
Tm1 0.0000 0.0000 0.0000
Al1 0.7500 0.7500 0.7500
Ga1 0.3749 0.3749 0.3749
Ga2 0.3749 0.3749 0.8753
Ga3 0.3749 0.8753 0.3749
Ga4 0.8753 0.3749 0.3749

---

20.
YSiBi2 | PBE | optimized geometry

symmetry = I-42d, No. 122
formation energy without anion corrections = -31 meV per atom
magnetic moment = 0.0 Bohr magnetons per cell

Cell: 6.8173 6.8173 6.8173 Å, 102.07 102.07 125.57°
Atoms (fractional coordinates):
Y1 0.0000 0.0000 0.0000
Y2 0.7500 0.2500 0.5000
Si1 0.2500 0.7500 0.5000
Si2 0.5000 0.5000 0.0000
Bi1 0.1528 0.6250 0.0278
Bi2 0.3750 0.4028 0.5278
Bi3 0.5972 0.1250 0.9722
Bi4 0.8750 0.8472 0.4722

---

21.
V2GaCu | PBE | optimized geometry

symmetry = P4/mmm, No. 123
calculated formation energy = 0.23 eV per formula unit
magnetic moment = 0.0 Bohr magnetons per cell

Cell: 3.2789 3.2789 5.0506 Å, 90.00 90.00 90.00°
Atoms (fractional coordinates):
V1 0.0000 0.0000 0.2414
V2 0.0000 0.0000 0.7586
Ga1 0.5000 0.5000 0.5000
Cu1 0.5000 0.5000 0.0000

---

22.
Ti12Ga6Ru | PBE | optimized geometry

symmetry = R-3, No. 148
calculated formation energy = -5.40 eV per formula unit
magnetic moment = 0.0 Bohr magnetons per cell

Cell: 6.7625 6.7625 6.7625 Å, 89.98 89.98 89.98°
Atoms (fractional coordinates):
Ti1 0.0213 0.3048 0.9411
Ti2 0.0589 0.9787 0.6952
Ti3 0.1266 0.3570 0.4517
Ti4 0.3048 0.9411 0.0213
Ti5 0.3570 0.4517 0.1266
Ti6 0.4517 0.1266 0.3570
Ti7 0.5483 0.8734 0.6430
Ti8 0.6430 0.5483 0.8734
Ti9 0.6952 0.0589 0.9787
Ti10 0.8734 0.6430 0.5483
Ti11 0.9411 0.0213 0.3048
Ti12 0.9787 0.6952 0.0589
Ga1 0.2294 0.7607 0.3800
Ga2 0.2393 0.6200 0.7706
Ga3 0.3800 0.2294 0.7607
Ga4 0.6200 0.7706 0.2393
Ga5 0.7607 0.3800 0.2294
Ga6 0.7706 0.2393 0.6200
Ru1 0.5000 0.5000 0.5000

---

23.
Hg2PdAu5 | PBE | optimized geometry

symmetry = Pbam, No. 55
calculated formation energy = -0.07 eV per formula unit
magnetic moment = 0.0 Bohr magnetons per cell

Cell: 6.0529 12.0734 4.0569 Å, 90.00 90.00 90.00°
Atoms (fractional coordinates):
Hg1 0.2343 0.1205 0.0000
Hg2 0.2657 0.6205 0.0000
Hg3 0.7343 0.3795 0.0000
Hg4 0.7657 0.8795 0.0000
Pd1 0.0000 0.0000 0.5000
Pd2 0.5000 0.5000 0.5000
Au1 0.0000 0.5000 0.5000
Au2 0.0121 0.7491 0.5000
Au3 0.2438 0.3738 0.0000
Au4 0.2562 0.8738 0.0000
Au5 0.4879 0.2491 0.5000
Au6 0.5000 0.0000 0.5000
Au7 0.5121 0.7509 0.5000
Au8 0.7438 0.1262 0.0000
Au9 0.7562 0.6262 0.0000
Au10 0.9879 0.2509 0.5000